[1]
# SrLi2Ni

Crystalline SrLi2Ni at its relaxed geometry (PBE, Alexandria via LeMat-Bulk).

Cell: 11.283 3.473 4.945 Å, 90.00 114.98 90.00°
Space group C2/m (No. 12)
Asymmetric unit:
1 Sr 0.000 0.000 0.000 x2
2 Li 0.202 0.000 0.697 x4
3 Ni 0.000 0.500 0.500 x2

Summary:
E_tot	-21.60	eV per cell
total magnetic moment	0.00	μB/cell
energy relative to the lowest polymorph listed for this composition	54	meV/atom
DFT formation energy	0.122	eV/atom

=====

[2]
# SrLiNi3

Crystalline SrLiNi3 at its relaxed geometry (PBE, Alexandria via LeMat-Bulk).

Cell: 4.325 4.325 4.325 Å, 90.00 90.00 90.00°
Space group Pm-3m (No. 221)
Asymmetric unit:
1 Sr 0.000 0.000 0.000 x1
2 Li 0.500 0.500 0.500 x1
3 Ni 0.000 0.500 0.500 x3

Summary:
E_tot	-18.65	eV per cell
total magnetic moment	0.32	μB/cell
energy relative to the lowest polymorph listed for this composition	0	meV/atom
DFT formation energy	0.457	eV/atom

=====

[3]
# SrLi2Ni

Crystalline SrLi2Ni at its relaxed geometry (PBE, Alexandria via LeMat-Bulk).

Cell: 3.596 3.596 6.456 Å, 90.00 90.00 90.00°
Space group P4/mmm (No. 123)
Asymmetric unit:
1 Sr 0.000 0.000 0.000 x1
2 Li 0.500 0.500 0.327 x2
3 Ni 0.000 0.000 0.500 x1

Summary:
E_tot	-10.28	eV per cell
total magnetic moment	0.00	μB/cell
energy relative to the lowest polymorph listed for this composition	184	meV/atom
DFT formation energy	0.252	eV/atom

=====

[4]
# Sr2LiNi

Crystalline Sr2LiNi at its relaxed geometry (PBE, Alexandria via LeMat-Bulk).

Cell: 4.575 4.575 11.120 Å, 90.00 90.00 90.00°
Space group I-4m2 (No. 119)
Asymmetric unit:
1 Sr 0.000 0.000 0.000 x2
2 Sr 0.000 0.500 0.250 x2
3 Li 0.000 0.500 0.750 x2
4 Ni 0.000 0.000 0.500 x2

Summary:
E_tot	-19.96	eV per cell
total magnetic moment	0.00	μB/cell
DFT formation energy	0.270	eV/atom